Entry 1:
Sr12CaTl6: optimized geometry, PBE.

## Properties
Space group: R-3, No. 148

Lattice parameters (Å, degrees): 10.185 10.185 10.185 108.38 108.38 108.38
Fractional positions:
1 Sr 0.849 0.339 0.026
2 Sr 0.974 0.151 0.661
3 Sr 0.582 0.880 0.633
4 Sr 0.661 0.974 0.151
5 Sr 0.418 0.120 0.367
6 Sr 0.120 0.367 0.418
7 Sr 0.367 0.418 0.120
8 Sr 0.339 0.026 0.849
9 Sr 0.026 0.849 0.339
10 Sr 0.880 0.633 0.582
11 Sr 0.633 0.582 0.880
12 Sr 0.151 0.661 0.974
13 Tl 0.681 0.760 0.340
14 Tl 0.760 0.340 0.681
15 Tl 0.340 0.681 0.760
16 Tl 0.660 0.319 0.240
17 Tl 0.240 0.660 0.319
18 Tl 0.319 0.240 0.660
19 Ca 0.000 0.000 0.000

***

Entry 2:
GaFeNi: optimized geometry, PBE.

## Properties
Space group: C2, No. 5

Lattice parameters (Å, degrees): 4.640 7.614 4.438 90.00 111.52 90.00
Last column: magnetic moment on the atom in μB.
Fractional positions:
1 Fe 0.500 0.758 0.000  2.29
2 Fe 0.500 0.928 0.500  2.20
3 Fe 0.500 0.428 0.000  2.20
4 Fe 0.500 0.258 0.500  2.29
5 Ga 0.000 0.287 0.000  -0.06
6 Ga 0.000 0.787 0.500  -0.06
7 Ga 0.500 0.588 0.500  -0.08
8 Ga 0.500 0.088 0.000  -0.08
9 Ni 0.000 0.115 0.500  0.21
10 Ni 0.000 0.945 0.000  0.19
11 Ni 0.000 0.445 0.500  0.19
12 Ni 0.000 0.615 0.000  0.21

***

Number 1: E -2.074 eV per atom, V 44.46 Å³ per atom. Number 2: E -5.930 eV per atom, V 12.16 Å³ per atom.